Entry 1:
Crystalline HfZr2 at its relaxed geometry, computed with PBE-GGA.

Results
The size of the total moment is 0.0 μB/cell. The calculation puts the total energy at -8.7543 eV/atom. The formation energy is 76 kJ/mol of formula units.

Lattice parameters (Å, degrees): 5.742 5.742 9.469 90.00 90.00 120.00
Fractional positions:
Zr (0.175, 0.825, 0.750)
Zr (0.350, 0.175, 0.250)
Zr (0.175, 0.350, 0.750)
Zr (0.000, 0.000, 0.000)
Zr (0.825, 0.175, 0.250)
Zr (0.650, 0.825, 0.750)
Zr (0.825, 0.650, 0.250)
Zr (0.000, 0.000, 0.500)
Hf (0.667, 0.333, 0.940)
Hf (0.333, 0.667, 0.440)
Hf (0.667, 0.333, 0.560)
Hf (0.333, 0.667, 0.060)

=====

Entry 2:
Crystalline FeMo2C at its relaxed geometry, computed with PBE-GGA.

Results
The size of the total moment is 3.2 μB/cell. The calculation puts the total energy at -9.6320 eV/atom.

Lattice parameters (Å, degrees): 2.989 2.989 12.837 90.00 90.00 120.00
Site moments in Bohr magnetons follow the coordinates.
Fractional positions:
Mo (0.333, 0.667, 0.406)  -0.15
Mo (0.333, 0.667, 0.094)  -0.15
Mo (0.667, 0.333, 0.906)  -0.15
Mo (0.667, 0.333, 0.594)  -0.15
C (0.000, 0.000, 0.000)  0.00
C (0.000, 0.000, 0.500)  0.00
Fe (0.667, 0.333, 0.250)  1.95
Fe (0.333, 0.667, 0.750)  1.95